Computed, not measured: a relaxed structure of NiCl at the GGA-PBE level of DFT.

Calculated values
Fermi-level density of states	4.38	states/eV per cell
space group	Cmcm (63)
theoretical density	4.23	Mg/m³
E	-15.36	eV per cell

Lattice parameters (Å, degrees): 7.034 7.034 3.292 90.00 90.00 152.98
Each line ends with the local moment (μB).
Positions (direct):
Cl 0.874 0.126 0.750  0.11
Cl 0.126 0.874 0.250  0.11
Ni 0.711 0.289 0.750  0.90
Ni 0.289 0.711 0.250  0.90